[1]
A plane-wave DFT calculation with PBE-GGA was carried out for a relaxed Ga2PbCl crystal.

Unit cell a=8.380 b=8.380 c=8.380 alpha=136.90 beta=136.90 gamma=62.60
Fractional positions:
Ga 0.122 0.625 0.997
Ga 0.375 0.372 0.497
Ga 0.628 0.125 0.003
Ga 0.875 0.878 0.503
Pb 0.250 0.750 0.500
Pb 0.500 0.500 0.000
Cl 0.000 0.000 0.000
Cl 0.750 0.250 0.500

Values from the calculation:
E_tot   -2.9034 eV/atom
Relative energy among the computed polymorphs   55 meV/atom
ΔE_f (raw)   -0.001 eV/atom
DOS at the Fermi energy   3.05 states/eV/cell
Density   4.7 g cm⁻³
Calculated volume   33.93 A^3/atom

---

[2]
A plane-wave DFT calculation with PBE-GGA was carried out for a relaxed GaPbCl3 crystal.

Unit cell a=5.135 b=5.135 c=5.135 alpha=90.00 beta=90.00 gamma=90.00
Fractional positions:
Ga 0.000 0.000 0.000
Pb 0.500 0.500 0.500
Cl 0.000 0.000 0.500
Cl 0.000 0.500 0.000
Cl 0.500 0.000 0.000

Values from the calculation:
E_tot   -3.0381 eV/atom
ΔE_f (raw)   -0.583 eV/atom
DOS at the Fermi energy   2.83 states/eV/cell
Density   4.7 g cm⁻³
Calculated volume   27.08 A^3/atom

---

[3]
A plane-wave DFT calculation with PBE-GGA was carried out for a relaxed GaPbCl2 crystal.

Unit cell a=5.220 b=5.220 c=5.220 alpha=60.00 beta=60.00 gamma=60.00
Fractional positions:
Ga 0.000 0.000 0.000
Pb 0.500 0.500 0.500
Cl 0.250 0.250 0.250
Cl 0.750 0.750 0.750

Values from the calculation:
E_tot   -3.1091 eV/atom
Relative energy among the computed polymorphs   73 meV/atom
ΔE_f (raw)   -0.502 eV/atom
DOS at the Fermi energy   2.22 states/eV/cell
Density   5.7 g cm⁻³
Calculated volume   25.15 A^3/atom

---

Magnetization readings, ordered: 0.0, 0.6, 0.0 μB per cell